# CaMoAs2 meta-GGA SCAN single point on PBEsol structure
data_CaMoAs2
_chemical_formula_sum 'Ca2 Mo2 As4'
_cell_length_a 3.306
_cell_length_b 3.504
_cell_length_c 13.698
_cell_angle_alpha 90.00
_cell_angle_beta 90.00
_cell_angle_gamma 90.00
_space_group_name_H-M_alt 'I m m 2'
_space_group_IT_number 44
_space_group_name_Hall 'I 2 -2'
loop_
_atom_site_label
_atom_site_type_symbol
_atom_site_fract_x
_atom_site_fract_y
_atom_site_fract_z
Ca1 Ca 0.000 0.000 0.000
Mo1 Mo 0.000 0.500 0.747
As1 As 0.000 0.000 0.381
As2 As 0.000 0.500 0.172
# ΔH_f (0 K) in meV/atom: -468.1
# Size of the total moment in μB/atom: 0.23